Entry from Alexandria via LeMat-Bulk: a relaxed structure of Ba2Li2In (GGA-PBE).

Lattice parameters (Å, degrees): 7.8321 7.8321 5.5582 90.00 90.00 90.00
With the nearest neighbours (Å) after each atom.
Sites, in units of the cell vectors:
Ba: 0.3038 0.1962 0.5000  2 Li 3.38
Ba: 0.8038 0.3038 0.5000  2 Li 3.38
Ba: 0.6962 0.8038 0.5000  2 Li 3.38
Ba: 0.1962 0.6962 0.5000  2 Li 3.38
Li: 0.1299 0.3701 0.0000  1 Li 2.88, 2 In 3.07
Li: 0.8701 0.6299 0.0000  1 Li 2.88, 2 In 3.07
Li: 0.3701 0.8701 0.0000  1 Li 2.88, 2 In 3.07
Li: 0.6299 0.1299 0.0000  1 Li 2.88, 2 In 3.07
In: 0.0000 0.0000 0.0000  4 Li 3.07
In: 0.5000 0.5000 0.0000  4 Li 3.07

Results
**Total DFT energy (no corrections)**: -2.1898 eV per atom
**E_form**: -0.108 eV/atom
**Offset from the most stable computed form**: 82 meV per atom
**Volume**: 341.0 Å³/cell